The following is a GGA-PBE calculation of crystalline YU4C5 at its relaxed geometry, from the Alexandria database.

Energy of formation (eV/atom): -0.165

Lattice parameters (Å, degrees): 3.4912 4.9881 9.2617 105.62 100.86 90.00
Last column: nearest neighbours and their distance in Å.
Sites, in units of the cell vectors:
C  0.0000  0.5000  0.0000  4 U 2.46, 2 Y 2.49
C  0.8028  0.3028  0.6056  6 U 2.44-2.50
C  0.3914  0.8914  0.7827  4 U 2.37-2.50, 2 Y 2.58
C  0.6086  0.1086  0.2173  4 U 2.37-2.50, 2 Y 2.58
C  0.1972  0.6972  0.3944  6 U 2.44-2.50
U  0.7993  0.7993  0.5987  6 C 2.37-2.50
U  0.4006  0.4006  0.8013  6 C 2.44-2.50
U  0.2007  0.2007  0.4013  6 C 2.37-2.50
U  0.5994  0.5994  0.1987  6 C 2.44-2.50
Y  0.0000  0.0000  0.0000  6 C 2.49-2.58